Entry 1:
Material: BaOsPb
Method: DFT, GGA-PBE
State: optimized geometry

Results
Calculated total energy = -5.138 eV per atom
M_tot = 0.00 μB per cell

a b c (Å): 3.572 3.572 12.703
angles (deg): 90.00 90.00 90.00
Space group I4mm (No. 107)
Symmetry-distinct sites (fractional):
Ba 0.000 0.000 0.000
Os 0.000 0.000 0.326
Pb 0.000 0.000 0.723

Entry 2:
Material: BaOs2Pb
Method: DFT, GGA-PBE
State: optimized geometry

Results
Calculated total energy = -5.934 eV per atom
M_tot = 0.77 μB per cell

a b c (Å): 3.132 4.581 6.835
angles (deg): 90.00 90.00 90.00
Space group Pmmm (No. 47)
Symmetry-distinct sites (fractional):
Ba 0.000 0.000 0.000
Os 0.500 0.500 0.328
Pb 0.000 0.000 0.500

Entry 3:
Material: BaOsPb2
Method: DFT, GGA-PBE
State: optimized geometry

Results
Calculated total energy = -4.610 eV per atom
M_tot = 0.00 μB per cell

a b c (Å): 7.451 7.451 7.451
angles (deg): 90.00 90.00 90.00
Space group Fm-3m (No. 225)
Symmetry-distinct sites (fractional):
Ba 0.000 0.000 0.000
Os 0.000 0.000 0.500
Pb 0.250 0.250 0.250

Entry 4:
Material: BaOs2Pb
Method: DFT, GGA-PBE
State: optimized geometry

Results
Calculated total energy = -6.337 eV per atom
M_tot = 0.00 μB per cell

a b c (Å): 4.216 4.668 12.121
angles (deg): 90.00 90.00 90.00
Space group Imm2 (No. 44)
Symmetry-distinct sites (fractional):
Ba 0.000 0.000 0.000
Os 0.000 0.000 0.375
Os 0.000 0.500 0.788
Pb 0.000 0.500 0.238

Entry 5:
Material: Ba2OsPb
Method: DFT, GGA-PBE
State: optimized geometry

Results
Calculated total energy = -4.092 eV per atom
M_tot = 2.04 μB per cell

a b c (Å): 7.495 9.656 3.509
angles (deg): 90.00 90.10 90.00
Space group C2/m (No. 12)
Symmetry-distinct sites (fractional):
Ba 0.250 0.250 0.000
Os 0.000 0.000 0.500
Pb 0.000 0.500 0.500

Entry 6:
Material: BaOs2Pb
Method: DFT, GGA-PBE
State: optimized geometry

Results
Calculated total energy = -5.638 eV per atom
M_tot = 8.33 μB per cell

a b c (Å): 7.135 7.135 7.135
angles (deg): 90.00 90.00 90.00
Space group F-43m (No. 216)
Symmetry-distinct sites (fractional):
Ba 0.000 0.000 0.000
Os 0.000 0.000 0.500
Os 0.250 0.250 0.750
Pb 0.250 0.250 0.250

Entry 7:
Material: BaOsPb2
Method: DFT, GGA-PBE
State: optimized geometry

Results
Calculated total energy = -4.916 eV per atom
M_tot = 0.00 μB per cell

a b c (Å): 4.6269 4.6269 19.2151
angles (deg): 90.00 90.00 120.00
Space group R-3m (No. 166, hexagonal axes)
Symmetry-distinct sites (fractional):
Ba 0.0000 0.0000 0.0000
Os 0.0000 0.0000 0.5000
Pb 0.0000 0.0000 0.2175

Entry 8:
Material: Ba2OsPb
Method: DFT, GGA-PBE
State: optimized geometry

Results
Calculated total energy = -4.041 eV per atom
M_tot = 0.93 μB per cell

a b c (Å): 3.9027 3.9027 31.5952
angles (deg): 90.00 90.00 120.00
Space group R-3m (No. 166, hexagonal axes)
Symmetry-distinct sites (fractional):
Ba 0.0000 0.0000 0.2356
Os 0.0000 0.0000 0.5000
Pb 0.0000 0.0000 0.0000

Entry 9:
Material: BaOsPb2
Method: DFT, GGA-PBE
State: optimized geometry

Results
Calculated total energy = -4.895 eV per atom
M_tot = 0.00 μB per cell

a b c (Å): 4.7408 4.7408 18.7384
angles (deg): 90.00 90.00 120.00
Space group R3m (No. 160, hexagonal axes)
Symmetry-distinct sites (fractional):
Ba 0.0000 0.0000 0.0000
Os 0.0000 0.0000 0.1800
Pb 0.0000 0.0000 0.5520
Pb 0.0000 0.0000 0.7905

Entry 10:
Material: BaOs2Pb
Method: DFT, GGA-PBE
State: optimized geometry

Results
Calculated total energy = -5.804 eV per atom
M_tot = 1.33 μB per cell

a b c (Å): 3.532 3.532 7.435
angles (deg): 90.00 90.00 90.00
Space group P4/mmm (No. 123)
Symmetry-distinct sites (fractional):
Ba 0.000 0.000 0.000
Os 0.500 0.500 0.315
Pb 0.000 0.000 0.500

Entry 11:
Material: BaOsPb
Method: DFT, GGA-PBE
State: optimized geometry

Results
Calculated total energy = -5.129 eV per atom
M_tot = 0.00 μB per cell

a b c (Å): 4.6585 4.6585 5.0057
angles (deg): 90.00 90.00 120.00
Space group P-6m2 (No. 187)
Symmetry-distinct sites (fractional):
Ba 0.0000 0.0000 0.0000
Os 0.6667 0.3333 0.5000
Pb 0.3333 0.6667 0.5000

Entry 12:
Material: BaOs2Pb
Method: DFT, GGA-PBE
State: optimized geometry

Results
Calculated total energy = -6.765 eV per atom
M_tot = 0.00 μB per cell

a b c (Å): 4.3450 4.3450 20.0774
angles (deg): 90.00 90.00 120.00
Space group R3m (No. 160, hexagonal axes)
Symmetry-distinct sites (fractional):
Ba 0.0000 0.0000 0.0000
Os 0.0000 0.0000 0.4533
Os 0.0000 0.0000 0.7856
Pb 0.0000 0.0000 0.1988